Entry 1:
Computed, not measured: a geometry-optimized MgPtC3 structure at the PBE level of DFT.

The space group is Pm-3m (No. 221) and the conventional cell measures 4.056, 4.056 and 4.056 Å, with angles of 90.00, 90.00 and 90.00 degrees. The inequivalent atoms are Mg at (0.000, 0.000, 0.000), Pt at (0.500, 0.500, 0.500) and C at (0.000, 0.500, 0.500).

The crystal system is cubic. The density of states at the Fermi level is 1.4 states/eV/cell. Its energy above the most stable polymorph in this dataset is 0 meV/atom. The value obtained for the formation energy from the elements is 2188 meV/atom.

=====

Entry 2:
Computed, not measured: a geometry-optimized Cs3AlSe3 structure at the PBE level of DFT.

The space group is Cmcm (No. 63) and the conventional cell measures 10.618, 18.329 and 7.297 Å, with angles of 90.00, 90.00 and 90.00 degrees. The inequivalent atoms are Cs at (0.000, 0.185, 0.250), Cs at (0.221, 0.407, 0.250), Al at (0.000, 0.333, 0.750), Se at (0.000, 0.206, 0.750) and Se at (0.190, 0.397, 0.750).

The formation energy without anion corrections is -1.07 eV per atom. The crystal system is orthorhombic. Its energy above the most stable polymorph in this dataset is 133 meV/atom.

=====

Entry 3:
Computed, not measured: a geometry-optimized YInHg2 structure at the PBE level of DFT.

The space group is I-42d (No. 122) and the conventional cell measures 4.576, 4.576 and 21.061 Å, with angles of 90.00, 90.00 and 90.00 degrees. The inequivalent atoms are Y at (0.000, 0.000, 0.000), In at (0.000, 0.000, 0.500) and Hg at (0.235, 0.250, 0.625).

The crystal system is tetragonal. The density of states at the Fermi level is 9.0 states/eV/cell. The value obtained for the formation energy from the elements is -160 meV/atom.

=====

Entry 4:
Computed, not measured: a geometry-optimized Pa2ReCl structure at the PBE level of DFT.

The space group is R-3m (No. 166, hexagonal axes) and the conventional cell measures 3.9938, 3.9938 and 21.2100 Å, with angles of 90.00, 90.00 and 120.00 degrees. The inequivalent atoms are Pa at (0.0000, 0.0000, 0.2377), Re at (0.0000, 0.0000, 0.5000) and Cl at (0.0000, 0.0000, 0.0000).

The formation energy without anion corrections is -0.38 eV per atom. The crystal system is trigonal. The density of states at the Fermi level is 15.8 states/eV/cell. Its energy above the most stable polymorph in this dataset is 103 meV/atom.

=====

Entry 5:
Computed, not measured: a geometry-optimized Sc2TaIr structure at the PBE level of DFT.

The space group is Imm2 (No. 44) and the conventional cell measures 3.192, 4.772 and 9.923 Å, with angles of 90.00, 90.00 and 90.00 degrees. The inequivalent atoms are Sc at (0.000, 0.000, 0.000), Sc at (0.000, 0.500, 0.219), Ta at (0.000, 0.000, 0.447) and Ir at (0.000, 0.500, 0.732).

The crystal system is orthorhombic. The density of states at the Fermi level is 5.7 states/eV/cell. Its energy above the most stable polymorph in this dataset is 0 meV/atom. The value obtained for the formation energy from the elements is -400 meV/atom.

=====

Entry 6:
Computed, not measured: a geometry-optimized Be4Ag structure at the PBE level of DFT.

The space group is I4/m (No. 87) and the conventional cell measures 5.897, 5.897 and 2.870 Å, with angles of 90.00, 90.00 and 90.00 degrees. The inequivalent atoms are Be at (0.105, 0.324, 0.000) and Ag at (0.000, 0.000, 0.500).

The crystal system is tetragonal. The density of states at the Fermi level is 0.6 states/eV/cell. Its energy above the most stable polymorph in this dataset is 0 meV/atom. The value obtained for the formation energy from the elements is 133 meV/atom.

=====

So what do the calculations give for size of the total moment? Going down the list: 0.0 0.0 0.0 0.0 0.0 0.0 μB per cell.